Run A
A plane-wave DFT calculation with PBE-GGA was carried out for a relaxed Tl2In2Pb7 crystal.

```
11
Lattice="6.8837 -0.5955 -0.0228 -1.4402 7.6755 -1.3300 0.5242 -0.5956 6.8636" Properties=species:S:1:pos:R:3 pbc="T T T"
Pb 2.8054 4.2370 5.1626
Pb -0.7201 3.8378 -0.6650
Pb 5.5945 -0.5135 5.1663
Pb 5.3693 4.2370 2.3862
Pb 3.1623 2.2474 0.3482
Pb 0.5984 2.2474 3.1246
Pb 0.3732 6.9979 0.3446
In 3.8560 1.5951 3.5608
In 2.1117 4.8893 1.9500
Tl 5.4402 -0.5955 1.5402
Tl 1.9676 -0.5956 5.3006
```

Values from the calculation:
space-group type	C2/m, No. 12
crystal system	monoclinic
V	351.8	Å³/cell

***

Run B
A plane-wave DFT calculation with PBE-GGA was carried out for a relaxed Tl2In2Pb7 crystal.

```
11
Lattice="-3.2949 -6.9679 5.1344 2.9356 -4.0136 -4.9054 3.3023 3.2700 5.2146" Properties=species:S:1:pos:R:3 pbc="T T T"
Pb 0.8656 0.1489 3.1322
Pb 0.0000 0.0000 0.0000
Pb 0.0762 -3.0387 2.1843
Pb 0.7097 -2.9499 -1.1733
Pb 2.0774 -7.8605 2.3114
Pb 2.8668 -4.6729 3.2593
Pb 2.2334 -4.7617 6.6169
Tl -0.2474 -5.8522 4.2210
Tl 3.1904 -1.8593 1.2226
In 1.5720 -1.8597 5.4953
In 1.3710 -5.8519 -0.0517
```

Values from the calculation:
space-group type	C2/m, No. 12
crystal system	monoclinic
V	353.0	Å³/cell

***

Out of the structures above, which one is the least stable? Solution: run A.